Model w:
Below is a relaxed Ni7Pt5 crystal, with properties calculated at the GGA-PBEsol level.

Structure (extended XYZ):
```
12
Lattice="-3.760 -0.610 -2.393 3.670 -0.483 -2.656 0.189 -7.633 1.650" Properties=species:S:1:pos:R:3 pbc="T T T"
Ni 0.188 -7.621 1.647
Ni 1.867 -1.526 -1.050
Ni 0.062 -2.518 0.544
Ni 1.929 -4.057 -0.504
Ni 0.127 -5.120 1.107
Ni 0.143 -8.180 -0.875
Ni -1.723 -6.668 0.179
Pt 1.994 -6.692 0.066
Pt -1.851 -1.471 -0.944
Pt 0.016 -3.042 -1.985
Pt -1.786 -4.135 -0.369
Pt 0.082 -5.684 -1.414
```

Values from the calculation:
Space-group type: P2
Calculated volume: 150 Å³ per cell
N(E_F): 18.34 states/eV/f.u.


Model x:
Below is a relaxed Ni7Pt5 crystal, with properties calculated at the GGA-PBEsol level.

Structure (extended XYZ):
```
12
Lattice="3.668 0.000 0.000 0.000 5.226 0.000 0.000 0.000 7.821" Properties=species:S:1:pos:R:3 pbc="T T T"
Ni 0.000 0.000 5.271
Ni 1.834 1.301 6.573
Ni 0.000 2.613 0.000
Ni 1.834 3.926 1.248
Ni 0.000 0.000 2.549
Ni 1.834 3.926 6.573
Ni 1.834 1.301 1.248
Pt 1.834 1.275 3.910
Pt 0.000 2.613 5.356
Pt 0.000 0.000 0.000
Pt 0.000 2.613 2.465
Pt 1.834 3.951 3.910
```

Values from the calculation:
Space-group type: Pmmm
Calculated volume: 150 Å³ per cell
N(E_F): 19.63 states/eV/f.u.


Model y:
Below is a relaxed Ni7Pt5 crystal, with properties calculated at the GGA-PBEsol level.

Structure (extended XYZ):
```
12
Lattice="-0.471 -2.634 4.499 5.207 0.089 0.531 -1.550 5.374 1.469" Properties=species:S:1:pos:R:3 pbc="T T T"
Ni 0.013 2.341 5.170
Ni -0.775 2.687 0.735
Ni 3.173 0.488 1.330
Ni 2.703 2.346 5.477
Ni 0.483 0.483 1.023
Ni 2.897 3.724 3.154
Ni 0.289 -0.895 3.345
Pt 0.220 3.724 2.869
Pt -1.010 1.370 2.984
Pt 2.966 -0.895 3.630
Pt 1.829 2.731 1.000
Pt 1.593 1.415 3.250
```

Values from the calculation:
Space-group type: C2/m
Calculated volume: 150 Å³ per cell
N(E_F): 20.14 states/eV/f.u.


Least stable: model y


Model w:
Below is a relaxed Ni5Pt7 crystal, with properties calculated at the GGA-PBEsol level.

Structure (extended XYZ):
```
12
Lattice="2.699 0.000 0.000 0.000 7.381 0.000 0.000 0.000 7.996" Properties=species:S:1:pos:R:3 pbc="T T T"
Ni 0.000 7.340 1.402
Ni 1.349 5.517 2.695
Ni 0.000 3.792 3.998
Ni 0.000 7.340 6.594
Ni 1.349 5.517 5.301
Pt 1.349 1.834 5.315
Pt 1.349 5.707 0.000
Pt 0.000 3.775 1.393
Pt 1.349 1.834 2.681
Pt 0.000 7.220 3.998
Pt 0.000 3.775 6.603
Pt 1.349 1.708 0.000
```

Values from the calculation:
Space-group type: Pmm2
Calculated volume: 159 Å³ per cell
N(E_F): 20.01 states/eV/f.u.


Model x:
Below is a relaxed Ni5Pt7 crystal, with properties calculated at the GGA-PBEsol level.

Structure (extended XYZ):
```
12
Lattice="4.618 0.005 -0.002 -0.009 5.291 0.000 -0.068 -2.618 6.511" Properties=species:S:1:pos:R:3 pbc="T T T"
Ni 3.805 2.669 5.445
Ni -0.034 -1.309 3.256
Ni 0.735 0.008 1.065
Ni 3.075 1.350 1.073
Ni 1.465 1.328 5.437
Pt 1.471 -1.395 5.481
Pt 2.243 0.011 3.219
Pt 3.780 0.012 5.428
Pt -0.039 1.336 3.256
Pt 0.760 2.665 1.082
Pt 2.297 2.667 3.291
Pt 3.069 4.072 1.029
```

Values from the calculation:
Space-group type: P-1
Calculated volume: 159 Å³ per cell
N(E_F): 19.41 states/eV/f.u.


Least stable: model w


Model w:
Below is a relaxed Ni5Pt7 crystal, with properties calculated at the GGA-PBEsol level.

Structure (extended XYZ):
```
12
Lattice="-2.684 -0.103 0.235 0.429 -6.060 2.236 0.609 3.381 8.455" Properties=species:S:1:pos:R:3 pbc="T T T"
Ni 0.426 -5.984 2.233
Ni -0.504 -0.992 9.294
Ni 0.656 0.725 7.824
Ni 0.703 -1.798 7.245
Ni -0.769 -5.256 4.385
Pt -0.874 2.543 6.611
Pt -0.828 -0.146 5.961
Pt 0.308 1.681 4.264
Pt -0.800 -2.694 5.158
Pt 0.337 -0.856 3.477
Pt 0.381 -3.553 2.792
Pt -1.167 -1.748 1.375
```

Values from the calculation:
Space-group type: Pm
Calculated volume: 159 Å³ per cell
N(E_F): 20.04 states/eV/f.u.


Model x:
Below is a relaxed Ni5Pt7 crystal, with properties calculated at the GGA-PBEsol level.

Structure (extended XYZ):
```
12
Lattice="-0.748 -2.067 -1.555 5.897 -3.924 2.380 -4.362 -2.926 5.986" Properties=species:S:1:pos:R:3 pbc="T T T"
Ni 4.349 -2.894 1.755
Ni -1.125 -5.477 5.488
Ni -2.555 -2.496 2.215
Ni 1.911 -3.440 1.322
Ni 1.548 -1.030 0.625
Pt -1.449 -2.970 4.644
Pt 2.984 -3.879 3.721
Pt -4.031 -3.486 4.240
Pt 1.456 -4.904 5.817
Pt 0.393 -4.458 3.405
Pt 0.078 -1.946 2.548
Pt -1.079 -1.507 0.190
```

Values from the calculation:
Space-group type: Pmmm
Calculated volume: 160 Å³ per cell
N(E_F): 19.99 states/eV/f.u.


Least stable: model x


Model w:
Below is a relaxed Ni3Pt2 crystal, with properties calculated at the GGA-PBEsol level.

Structure (extended XYZ):
```
10
Lattice="2.649 0.000 0.000 0.000 4.501 0.010 0.000 -1.375 10.505" Properties=species:S:1:pos:R:3 pbc="T T T"
Ni 0.662 0.411 2.272
Ni 1.987 -0.291 4.293
Ni 0.662 3.417 6.221
Ni 1.987 2.715 8.243
Ni 0.662 1.907 4.317
Ni 1.987 1.219 6.198
Pt 0.662 2.012 10.462
Pt 1.987 2.671 2.304
Pt 0.662 0.455 8.210
Pt 1.987 1.114 0.052
```

Values from the calculation:
Space-group type: P2_1/m
Calculated volume: 125 Å³ per cell
N(E_F): 8.33 states/eV/f.u.


Model x:
Below is a relaxed Ni3Pt2 crystal, with properties calculated at the GGA-PBEsol level.

Structure (extended XYZ):
```
10
Lattice="2.654 0.000 0.000 0.000 6.304 0.004 0.000 -1.879 7.426" Properties=species:S:1:pos:R:3 pbc="T T T"
Ni 0.000 4.313 7.348
Ni 1.327 4.290 5.273
Ni 0.000 4.320 2.906
Ni 1.327 4.236 0.717
Ni 0.000 2.293 6.004
Ni 0.000 2.268 1.522
Pt 1.327 2.328 3.733
Pt 1.327 0.170 6.813
Pt 0.000 0.046 4.470
Pt 1.327 0.076 2.078
```

Values from the calculation:
Space-group type: Pm
Calculated volume: 124 Å³ per cell
N(E_F): 8.14 states/eV/f.u.


Least stable: model w


Model w:
Below is a relaxed Ni4Pt5 crystal, with properties calculated at the GGA-PBEsol level.

Structure (extended XYZ):
```
9
Lattice="3.723 0.000 0.000 -1.861 4.201 -0.010 0.000 -2.524 7.561" Properties=species:S:1:pos:R:3 pbc="T T T"
Ni 1.861 0.431 7.131
Ni 0.000 1.246 0.420
Ni 0.000 0.417 2.932
Ni 1.861 1.260 4.620
Pt 0.000 3.747 1.212
Pt 1.861 2.033 2.077
Pt 1.861 -1.262 3.781
Pt 0.000 -0.356 5.475
Pt 1.861 -2.070 6.339
```

Values from the calculation:
Space-group type: C2/m
Calculated volume: 118 Å³ per cell
N(E_F): 14.88 states/eV/f.u.


Model x:
Below is a relaxed Ni4Pt5 crystal, with properties calculated at the GGA-PBEsol level.

Structure (extended XYZ):
```
9
Lattice="4.601 -0.006 -0.007 0.763 4.537 0.001 1.521 0.453 5.675" Properties=species:S:1:pos:R:3 pbc="T T T"
Ni 6.087 0.456 5.624
Ni 5.356 2.872 5.022
Ni 3.862 0.878 4.411
Ni 1.532 1.279 3.217
Pt 3.066 3.390 3.835
Pt 5.384 3.737 2.578
Pt 3.822 1.633 1.909
Pt 3.064 4.115 1.169
Pt 1.490 2.025 0.580
```

Values from the calculation:
Space-group type: P1
Calculated volume: 119 Å³ per cell
N(E_F): 15.25 states/eV/f.u.


Least stable: model x


Model w:
Below is a relaxed ReNiPt2 crystal, with properties calculated at the GGA-PBEsol level.

Structure (extended XYZ):
```
4
Lattice="-3.068 -1.758 -1.275 -0.676 -1.324 3.452 -0.251 4.676 -0.302" Properties=species:S:1:pos:R:3 pbc="T T T"
Re 0.000 0.000 0.000
Pt -2.595 0.689 -0.244
Pt -1.400 0.905 2.119
Ni -1.872 -1.541 1.088
```

Values from the calculation:
Space-group type: I4/mmm
Calculated volume: 55 Å³ per cell
N(E_F): 2.84 states/eV/f.u.


Model x:
Below is a relaxed ReNiPt2 crystal, with properties calculated at the GGA-PBEsol level.

Structure (extended XYZ):
```
4
Lattice="2.694 0.000 0.000 -1.347 4.439 -0.004 0.000 -0.812 4.611" Properties=species:S:1:pos:R:3 pbc="T T T"
Re 1.347 -0.366 2.304
Pt 1.347 3.603 4.535
Pt 1.347 2.031 1.243
Ni 0.000 1.580 3.437
```

Values from the calculation:
Space-group type: Cm
Calculated volume: 55 Å³ per cell
N(E_F): 3.31 states/eV/f.u.


Least stable: model w